1.
Density functional theory data (meta-GGA SCAN) for a PBEsol-optimized structure of MgZn2Hg.

As for the offset from the most stable computed form: 0.0 meV/atom. For the total moment, the calculation gives 0.0 μB per formula unit. The calculated density is 8.1 g/cm³.

The structure belongs to space group Pmmm (No. 47); the cell edges are 3.094, 4.587 and 5.154 Å and the angles 90.00°, 90.00° and 90.00°. Symmetry generates all atoms from Mg at (0.000, 0.000, 0.000), Zn at (0.500, 0.500, 0.238) and Hg at (0.500, 0.000, 0.500).



2.
Density functional theory data (meta-GGA SCAN) for a PBEsol-optimized structure of BaHgOsSe2.

The energy relative to the elements, uncorrected is 7.06 eV/f.u. For the total moment, the calculation gives 6.0 μB per formula unit. The calculated density is 5.2 g/cm³.

The structure belongs to space group P4/mmm (No. 123); the cell edges are 6.025, 6.025 and 6.025 Å and the angles 90.00°, 90.00° and 90.00°. Symmetry generates all atoms from Ba at (0.000, 0.000, 0.000), Hg at (0.500, 0.500, 0.500), Os at (0.000, 0.000, 0.500) and Se at (0.000, 0.500, 0.000).



3.
Density functional theory data (meta-GGA SCAN) for a PBEsol-optimized structure of Hf3RePd.

For the total moment, the calculation gives 0.0 μB per formula unit. The calculated density is 12.3 g/cm³. The electronic total energy comes out at -57.38 eV per atom.

The structure belongs to space group Pm-3m (No. 221); the cell edges are 4.817, 4.817 and 4.817 Å and the angles 90.00°, 90.00° and 90.00°. Symmetry generates all atoms from Hf at (0.000, 0.000, 0.500), Re at (0.500, 0.500, 0.500) and Pd at (0.000, 0.000, 0.000).



4.
Density functional theory data (meta-GGA SCAN) for a PBEsol-optimized structure of CsBi2AsSe.

The energy relative to the elements, uncorrected is 2.34 eV/f.u. For the total moment, the calculation gives 0.0 μB per formula unit. The calculated density is 6.2 g/cm³.

The structure belongs to space group P4/mmm (No. 123); the cell edges are 5.499, 5.499 and 6.261 Å and the angles 90.00°, 90.00° and 90.00°. Symmetry generates all atoms from Cs at (0.000, 0.000, 0.000), Bi at (0.000, 0.500, 0.500), As at (0.500, 0.500, 0.000) and Se at (0.000, 0.000, 0.500).



5.
Density functional theory data (meta-GGA SCAN) for a PBEsol-optimized structure of Ta2TcSb.

The energy relative to the elements, uncorrected is 0.72 eV/f.u. For the total moment, the calculation gives 0.0 μB per formula unit. The calculated density is 13.6 g/cm³.

The structure belongs to space group Cmm2 (No. 35); the cell edges are 3.385, 4.878 and 8.614 Å and the angles 90.00°, 90.00° and 90.00°. Symmetry generates all atoms from Ta at (0.000, 0.000, 0.000), Ta at (0.000, 0.500, 0.257), Tc at (0.000, 0.000, 0.487) and Sb at (0.000, 0.500, 0.736).



6.
Density functional theory data (meta-GGA SCAN) for a PBEsol-optimized structure of LaCo2Pb.

For the total moment, the calculation gives 2.4 μB per formula unit. The calculated density is 10.2 g/cm³. The electronic total energy comes out at -38.34 eV per atom.

The structure belongs to space group Amm2 (No. 38); the cell edges are 3.922, 4.055 and 9.487 Å and the angles 90.00°, 90.00° and 90.00°. Symmetry generates all atoms from La at (0.000, 0.000, 0.000), Co at (0.000, 0.000, 0.284), Co at (0.500, 0.000, 0.412) and Pb at (0.500, 0.000, 0.707).



7.
Density functional theory data (meta-GGA SCAN) for a PBEsol-optimized structure of Lu6MnBi2.

For the total moment, the calculation gives 0.0 μB per formula unit. The calculated density is 11.1 g/cm³. The electronic total energy comes out at -56.88 eV per atom.

The structure belongs to space group P-62m (No. 189); the cell edges are 7.9992, 7.9992 and 4.1072 Å and the angles 90.00°, 90.00° and 120.00°. Symmetry generates all atoms from Lu at (0.0000, 0.2304, 0.0000), Lu at (0.0000, 0.6166, 0.5000), Mn at (0.0000, 0.0000, 0.5000) and Bi at (0.3333, 0.6667, 0.0000).



8.
Density functional theory data (meta-GGA SCAN) for a PBEsol-optimized structure of Pt2RhW.

As for the offset from the most stable computed form: 28.3 meV/atom. For the total moment, the calculation gives 0.0 μB per formula unit. The calculated density is 19.3 g/cm³.

The structure belongs to space group I4/mmm (No. 139); the cell edges are 3.841, 3.841 and 7.910 Å and the angles 90.00°, 90.00° and 90.00°. Symmetry generates all atoms from Pt at (0.000, 0.500, 0.250), Rh at (0.000, 0.000, 0.000) and W at (0.000, 0.000, 0.500).



9.
Density functional theory data (meta-GGA SCAN) for a PBEsol-optimized structure of CdTc2H2.

For the total moment, the calculation gives 0.0 μB per formula unit. The calculated density is 9.8 g/cm³. The electronic total energy comes out at -21.24 eV per atom.

The structure belongs to space group I4/mmm (No. 139); the cell edges are 3.104, 3.104 and 10.939 Å and the angles 90.00°, 90.00° and 90.00°. Symmetry generates all atoms from Cd at (0.000, 0.000, 0.000), Tc at (0.000, 0.000, 0.332) and H at (0.000, 0.500, 0.250).



10.
Density functional theory data (meta-GGA SCAN) for a PBEsol-optimized structure of Ga2HgRh2.

For the total moment, the calculation gives 0.0 μB per formula unit. The calculated density is 10.8 g/cm³. The electronic total energy comes out at -33.89 eV per atom.

The structure belongs to space group I4/mmm (No. 139); the cell edges are 4.126, 4.126 and 9.832 Å and the angles 90.00°, 90.00° and 90.00°. Symmetry generates all atoms from Ga at (0.000, 0.000, 0.121), Hg at (0.000, 0.000, 0.500) and Rh at (0.000, 0.500, 0.250).



11.
Density functional theory data (meta-GGA SCAN) for a PBEsol-optimized structure of TiGeAsBr2.

The energy relative to the elements, uncorrected is 1.74 eV/f.u. For the total moment, the calculation gives 1.8 μB per formula unit. The calculated density is 4.6 g/cm³.

The structure belongs to space group P4/mmm (No. 123); the cell edges are 5.045, 5.045 and 5.043 Å and the angles 90.00°, 90.00° and 90.00°. Symmetry generates all atoms from Ti at (0.000, 0.000, 0.000), Ge at (0.500, 0.500, 0.500), As at (0.500, 0.500, 0.000) and Br at (0.000, 0.500, 0.500).



12.
Density functional theory data (meta-GGA SCAN) for a PBEsol-optimized structure of Sc2InH2.

For the total moment, the calculation gives 0.0 μB per formula unit. The calculated density is 5.1 g/cm³. The electronic total energy comes out at -14.49 eV per atom.

The structure belongs to space group I4/mmm (No. 139); the cell edges are 3.523, 3.523 and 10.924 Å and the angles 90.00°, 90.00° and 90.00°. Symmetry generates all atoms from Sc at (0.000, 0.000, 0.157), In at (0.000, 0.000, 0.500) and H at (0.000, 0.500, 0.250).



- Look up the total moment of the ninth one.
  0.0 μB per formula unit



Repeat the first record exactly.
Density functional theory data (meta-GGA SCAN) for a PBEsol-optimized structure of MgZn2Hg.

As for the offset from the most stable computed form: 0.0 meV/atom. For the total moment, the calculation gives 0.0 μB per formula unit. The calculated density is 8.1 g/cm³.

The structure belongs to space group Pmmm (No. 47); the cell edges are 3.094, 4.587 and 5.154 Å and the angles 90.00°, 90.00° and 90.00°. Symmetry generates all atoms from Mg at (0.000, 0.000, 0.000), Zn at (0.500, 0.500, 0.238) and Hg at (0.500, 0.000, 0.500).